(1)
{
  "formula": "Pr2LuMg",
  "functional": "PBE",
  "state": "optimized geometry",
  "spacegroup": "P4/mmm",
  "final_energy_ev_per_cell": -15.77,
  "delta_e_f_ev_per_fu": -0.1,
  "magnetic_moment_mub_per_fu": 0.0,
  "lattice": [[3.740, 0.000, 0.000], [0.000, 3.740, 0.000], [0.000, 0.000, 8.995]],
  "species": ["Mg", "Pr", "Lu", "Pr"],
  "frac_coords": [[0.500, 0.500, 0.000], [0.000, 0.000, 0.764], [0.500, 0.500, 0.500], [0.000, 0.000, 0.236]]
}

(2)
{
  "formula": "PrLu2Mg",
  "functional": "PBE",
  "state": "optimized geometry",
  "spacegroup": "P4/mmm",
  "final_energy_ev_per_cell": -15.47,
  "delta_e_f_ev_per_fu": -0.1,
  "magnetic_moment_mub_per_fu": 0.0,
  "lattice": [[-1.098, -2.353, -2.512], [3.302, -1.466, -0.070], [-2.440, -5.808, 6.507]],
  "species": ["Mg", "Lu", "Lu", "Pr"],
  "frac_coords": [[0.500, 0.500, 0.000], [0.000, 0.000, 0.777], [0.000, 0.000, 0.223], [0.500, 0.500, 0.500]]
}

(3)
{
  "formula": "Pr2LuMg",
  "functional": "PBE",
  "state": "optimized geometry",
  "spacegroup": "R-3m",
  "final_energy_ev_per_cell": -14.95,
  "delta_e_f_ev_per_fu": 0.7,
  "magnetic_moment_mub_per_fu": 0.0,
  "lattice": [[-2.773, 1.838, 1.095], [-2.385, -1.500, 2.080], [4.711, 3.826, 11.106]],
  "species": ["Pr", "Pr", "Mg", "Lu"],
  "frac_coords": [[0.090, 0.090, 0.730], [0.910, 0.910, 0.270], [0.000, 0.000, 0.000], [0.500, 0.500, 0.500]]
}

(4)
{
  "formula": "PrLu2Mg",
  "functional": "PBE",
  "state": "optimized geometry",
  "spacegroup": "R-3m",
  "final_energy_ev_per_cell": -14.62,
  "delta_e_f_ev_per_fu": 0.8,
  "magnetic_moment_mub_per_fu": 0.0,
  "lattice": [[-1.050, 0.561, -3.183], [1.834, -1.148, -2.621], [-5.939, -10.585, -1.721]],
  "species": ["Pr", "Lu", "Lu", "Mg"],
  "frac_coords": [[0.000, 0.000, 0.000], [0.906, 0.906, 0.281], [0.094, 0.094, 0.719], [0.500, 0.500, 0.500]]
}

(5)
{
  "formula": "PrLu2Mg",
  "functional": "PBE",
  "state": "optimized geometry",
  "spacegroup": "P4/mmm",
  "final_energy_ev_per_cell": -15.31,
  "delta_e_f_ev_per_fu": 0.1,
  "magnetic_moment_mub_per_fu": 0.0,
  "lattice": [[-1.309, -2.754, 3.941], [-2.462, -3.021, -2.929], [4.008, -2.716, -0.567]],
  "species": ["Mg", "Lu", "Lu", "Pr"],
  "frac_coords": [[0.500, 0.000, 0.000], [0.000, 0.000, 0.500], [0.000, 0.500, 0.000], [0.500, 0.500, 0.500]]
}

(6)
{
  "formula": "PrLuMgPt",
  "functional": "PBE",
  "state": "optimized geometry",
  "spacegroup": "F-43m",
  "final_energy_ev_per_cell": -19.11,
  "delta_e_f_ev_per_fu": -2.2,
  "magnetic_moment_mub_per_fu": 0.0,
  "lattice": [[-0.273, 5.117, -0.419], [-2.892, 2.127, -3.680], [-4.345, 2.453, 1.241]],
  "species": ["Pr", "Lu", "Pt", "Mg"],
  "frac_coords": [[0.500, 0.500, 0.500], [0.000, 0.000, 0.000], [0.750, 0.750, 0.750], [0.250, 0.250, 0.250]]
}

(7)
{
  "formula": "PrLuMgRh",
  "functional": "PBE",
  "state": "optimized geometry",
  "spacegroup": "F-43m",
  "final_energy_ev_per_cell": -19.67,
  "delta_e_f_ev_per_fu": -1.4,
  "magnetic_moment_mub_per_fu": 0.0,
  "lattice": [[-4.019, 2.283, 2.174], [-2.814, -2.516, 3.441], [0.182, 1.345, 4.924]],
  "species": ["Mg", "Rh", "Pr", "Lu"],
  "frac_coords": [[0.000, 0.000, 0.000], [0.500, 0.500, 0.500], [0.750, 0.750, 0.750], [0.250, 0.250, 0.250]]
}

(8)
{
  "formula": "PrLuMgRu",
  "functional": "PBE",
  "state": "optimized geometry",
  "spacegroup": "F-43m",
  "final_energy_ev_per_cell": -20.67,
  "delta_e_f_ev_per_fu": -0.5,
  "magnetic_moment_mub_per_fu": 0.0,
  "lattice": [[5.074, 0.000, 0.000], [2.537, 4.394, 0.000], [2.537, 1.465, 4.143]],
  "species": ["Ru", "Mg", "Lu", "Pr"],
  "frac_coords": [[0.750, 0.750, 0.750], [0.250, 0.250, 0.250], [0.500, 0.500, 0.500], [0.000, 0.000, 0.000]]
}

(9)
{
  "formula": "PrLuMgSn",
  "functional": "PBE",
  "state": "optimized geometry",
  "spacegroup": "F-43m",
  "final_energy_ev_per_cell": -16.38,
  "delta_e_f_ev_per_fu": -1.5,
  "magnetic_moment_mub_per_fu": 0.0,
  "lattice": [[-1.783, -5.046, 0.079], [0.999, -3.125, 4.228], [-3.976, -1.382, 3.305]],
  "species": ["Lu", "Sn", "Pr", "Mg"],
  "frac_coords": [[0.500, 0.500, 0.500], [0.750, 0.750, 0.750], [0.000, 0.000, 0.000], [0.250, 0.250, 0.250]]
}

(10)
{
  "formula": "PrLuMgTc",
  "functional": "PBE",
  "state": "optimized geometry",
  "spacegroup": "F-43m",
  "final_energy_ev_per_cell": -21.06,
  "delta_e_f_ev_per_fu": 0.2,
  "magnetic_moment_mub_per_fu": 0.0,
  "lattice": [[5.083, 0.000, 0.000], [2.541, 4.402, 0.000], [2.541, 1.467, 4.150]],
  "species": ["Mg", "Lu", "Tc", "Pr"],
  "frac_coords": [[0.250, 0.250, 0.250], [0.000, 0.000, 0.000], [0.750, 0.750, 0.750], [0.500, 0.500, 0.500]]
}

(11)
{
  "formula": "PrLuMgTi",
  "functional": "PBE",
  "state": "optimized geometry",
  "spacegroup": "F-43m",
  "final_energy_ev_per_cell": -18.16,
  "delta_e_f_ev_per_fu": 0.6,
  "magnetic_moment_mub_per_fu": 2.0,
  "lattice": [[-4.930, 0.977, 1.640], [-3.096, -3.981, 1.587], [-1.234, -0.512, 5.115]],
  "species": ["Ti", "Pr", "Lu", "Mg"],
  "frac_coords": [[0.250, 0.250, 0.250], [0.500, 0.500, 0.500], [0.000, 0.000, 0.000], [0.750, 0.750, 0.750]]
}

(12)
{
  "formula": "PrLuMgTl",
  "functional": "PBE",
  "state": "optimized geometry",
  "spacegroup": "F-43m",
  "final_energy_ev_per_cell": -14.12,
  "delta_e_f_ev_per_fu": -0.9,
  "magnetic_moment_mub_per_fu": 0.0,
  "lattice": [[-0.882, 4.130, -3.367], [-2.762, -0.787, -4.574], [-4.975, 2.033, -0.534]],
  "species": ["Mg", "Lu", "Tl", "Pr"],
  "frac_coords": [[0.500, 0.500, 0.500], [0.750, 0.750, 0.750], [0.000, 0.000, 0.000], [0.250, 0.250, 0.250]]
}

What is the formula in the tenth record?
PrLuMgTc